# 1
First-principles (GGA-PBE) data for a relaxed La2BeAs crystal, as listed in the Alexandria database.

Cell: 3.425 3.425 8.554 Å, 90.00 90.00 90.00°
Fractional coordinates of all 4 atoms:
La (0.000, 0.000, 0.000)
La (0.500, 0.500, 0.396)
Be (0.500, 0.500, 0.750)
As (0.000, 0.000, 0.649)

Results
* space group: P4mm
* E above lowest polymorph: 11.75 kcal/mol of atoms
* VASP energy: -4.69 eV per atom
* ΔE_f: -0.1373 eV per atom
* total magnetic moment: 0.000 μB/atom

# 2
First-principles (GGA-PBE) data for a relaxed YAlCo3 crystal, as listed in the Alexandria database.

Cell: 4.321 4.321 4.321 Å, 90.00 90.00 90.00°
Fractional coordinates of all 5 atoms:
Y (0.000, 0.000, 0.000)
Al (0.500, 0.500, 0.500)
Co (0.000, 0.500, 0.500)
Co (0.500, 0.000, 0.500)
Co (0.500, 0.500, 0.000)

Results
* space group: Pm-3m
* E above lowest polymorph: 0.00 kcal/mol of atoms
* VASP energy: -6.02 eV per atom
* ΔE_f: 0.2835 eV per atom
* total magnetic moment: 0.198 μB/atom

# 3
First-principles (GGA-PBE) data for a relaxed NiBiP3 crystal, as listed in the Alexandria database.

Cell: 4.528 3.699 5.665 Å, 90.00 101.51 90.00°
Fractional coordinates of all 5 atoms:
Ni (0.000, 0.000, 0.000)
Bi (0.959, 0.000, 0.488)
P (0.298, 0.500, 0.075)
P (0.507, 0.500, 0.486)
P (0.708, 0.500, 0.923)

Results
* space group: Pm
* E above lowest polymorph: 0.73 kcal/mol of atoms
* VASP energy: -5.23 eV per atom
* ΔE_f: -0.0512 eV per atom
* total magnetic moment: 0.000 μB/atom

# 4
First-principles (GGA-PBE) data for a relaxed La4PrHoEr2 crystal, as listed in the Alexandria database.

Cell: 5.988 5.988 7.746 Å, 90.00 90.00 90.00°
Fractional coordinates of all 8 atoms:
La (0.000, 0.500, 0.240)
La (0.000, 0.500, 0.760)
La (0.500, 0.000, 0.240)
La (0.500, 0.000, 0.760)
Pr (0.000, 0.000, 0.500)
Ho (0.500, 0.500, 0.500)
Er (0.000, 0.000, 0.000)
Er (0.500, 0.500, 0.000)

Results
* space group: P4/mmm
* VASP energy: -4.69 eV per atom
* ΔE_f: 0.0829 eV per atom
* total magnetic moment: 0.000 μB/atom

Copy entry 3 word for word.
First-principles (GGA-PBE) data for a relaxed NiBiP3 crystal, as listed in the Alexandria database.

Cell: 4.528 3.699 5.665 Å, 90.00 101.51 90.00°
Fractional coordinates of all 5 atoms:
Ni (0.000, 0.000, 0.000)
Bi (0.959, 0.000, 0.488)
P (0.298, 0.500, 0.075)
P (0.507, 0.500, 0.486)
P (0.708, 0.500, 0.923)

Results
* space group: Pm
* E above lowest polymorph: 0.73 kcal/mol of atoms
* VASP energy: -5.23 eV per atom
* ΔE_f: -0.0512 eV per atom
* total magnetic moment: 0.000 μB/atom

- Look up the VASP energy of the first one.
  -4.69 eV per atom

- Among the records above, which one has the lowest VASP energy?
  YAlCo3